# BaSmS2, optimized geometry, DFT PBE
# E	-5.598	eV/atom
data_BaSmS2
_chemical_formula_sum 'Ba1 Sm1 S2'
_symmetry_space_group_name_H-M 'P 4/m m m'
_symmetry_Int_Tables_number 123
_symmetry_space_group_name_Hall '-P 4 2'
_cell_length_a 4.2721
_cell_length_b 4.2721
_cell_length_c 6.0245
_cell_angle_alpha 90.00
_cell_angle_beta 90.00
_cell_angle_gamma 90.00
loop_
_atom_site_label
_atom_site_type_symbol
_atom_site_fract_x
_atom_site_fract_y
_atom_site_fract_z
_atom_site_occupancy
Ba1 Ba 0.0000 0.0000 0.0000 1
Sm1 Sm 0.5000 0.5000 0.5000 1
S1 S 0.0000 0.0000 0.5000 1
S2 S 0.5000 0.5000 0.0000 1